Computed, not measured: a relaxed VTcH crystal at the GGA-PBE level of DFT.

Cell lengths 3.0566, 3.5523, 3.5523 Å; angles 120.00, 90.00, 90.00 degrees
Closest atoms and distances in Å follow each position.
Sites, in units of the cell vectors:
H 0.2897 0.6667 0.3333  3 Tc 2.10, 3 V 2.22
Tc 0.1446 0.0000 0.0000  3 H 2.10
V 0.5657 0.3333 0.6667  3 H 2.22, 3 Tc 2.42

Properties
**Offset from the most stable computed form**: 348 meV/atom
**Calculated density**: 7.454 g cm⁻³
**Spin magnetization**: 0.000 μB per atom